# TlBi3 PBE relaxed
data_TlBi3
_cell_length_a 7.979
_cell_length_b 7.979
_cell_length_c 7.979
_cell_angle_alpha 90.00
_cell_angle_beta 90.00
_cell_angle_gamma 90.00
_space_group_name_H-M_alt 'F m -3 m'
_space_group_IT_number 225
_space_group_name_Hall '-F 4 2 3'
loop_
_atom_site_label
_atom_site_type_symbol
_atom_site_fract_x
_atom_site_fract_y
_atom_site_fract_z
Tl1 Tl 0.000 0.000 0.000
Bi1 Bi 0.000 0.000 0.500
Bi2 Bi 0.250 0.250 0.250
# Spin magnetization ... 0.0 Bohr magnetons per cell
# ΔE to the lowest computed polymorph ... 0.0889 eV per atom
# DFT total energy ... -54.01 eV/cell
# Formation enthalpy at 0 K ... 126.5 meV per atom

***

# Tl3Bi4 PBE relaxed
data_Tl3Bi4
_cell_length_a 4.109
_cell_length_b 4.109
_cell_length_c 27.326
_cell_angle_alpha 90.00
_cell_angle_beta 90.00
_cell_angle_gamma 90.00
_space_group_name_H-M_alt 'I 4/m m m'
_space_group_IT_number 139
_space_group_name_Hall '-I 4 2'
loop_
_atom_site_label
_atom_site_type_symbol
_atom_site_fract_x
_atom_site_fract_y
_atom_site_fract_z
Tl1 Tl 0.000 0.000 0.000
Tl2 Tl 0.000 0.000 0.287
Bi1 Bi 0.000 0.000 0.138
Bi2 Bi 0.000 0.000 0.418
# Spin magnetization ... 0.0 Bohr magnetons per cell
# DFT total energy ... -45.06 eV/cell
# Formation enthalpy at 0 K ... 13.1 meV per atom

***

# TlBi PBE relaxed
data_TlBi
_cell_length_a 8.630
_cell_length_b 8.630
_cell_length_c 8.630
_cell_angle_alpha 90.00
_cell_angle_beta 90.00
_cell_angle_gamma 90.00
_space_group_name_H-M_alt 'P m -3 n'
_space_group_IT_number 223
_space_group_name_Hall '-P 4n 2 3'
loop_
_atom_site_label
_atom_site_type_symbol
_atom_site_fract_x
_atom_site_fract_y
_atom_site_fract_z
Tl1 Tl 0.000 0.250 0.500
Bi1 Bi 0.000 0.500 0.250
# Spin magnetization ... 0.0 Bohr magnetons per cell
# DFT total energy ... -34.05 eV/cell
# Formation enthalpy at 0 K ... 285.8 meV per atom

***

# Tl2Bi3 PBE relaxed
data_Tl2Bi3
_cell_length_a 4.979
_cell_length_b 7.193
_cell_length_c 9.984
_cell_angle_alpha 90.00
_cell_angle_beta 90.00
_cell_angle_gamma 90.00
_space_group_name_H-M_alt 'I m m m'
_space_group_IT_number 71
_space_group_name_Hall '-I 2 2'
loop_
_atom_site_label
_atom_site_type_symbol
_atom_site_fract_x
_atom_site_fract_y
_atom_site_fract_z
Tl1 Tl 0.000 0.000 0.217
Bi1 Bi 0.000 0.284 0.500
Bi2 Bi 0.000 0.500 0.000
# Spin magnetization ... 0.0 Bohr magnetons per cell
# ΔE to the lowest computed polymorph ... 0.0000 eV per atom
# DFT total energy ... -32.19 eV/cell
# Formation enthalpy at 0 K ... 56.2 meV per atom

***

# Tl4Bi3 PBE relaxed
data_Tl4Bi3
_cell_length_a 10.914
_cell_length_b 5.234
_cell_length_c 8.039
_cell_angle_alpha 90.00
_cell_angle_beta 101.02
_cell_angle_gamma 90.00
_space_group_name_H-M_alt 'C 1 2/m 1'
_space_group_IT_number 12
loop_
_space_group_symop_operation_xyz
'x,y,z'
'-x,-y,-z'
'-x,y,-z'
'x,-y,z'
'x+1/2,y+1/2,z'
'-x+1/2,-y+1/2,-z'
'-x+1/2,y+1/2,-z'
'x+1/2,-y+1/2,z'
loop_
_atom_site_label
_atom_site_type_symbol
_atom_site_fract_x
_atom_site_fract_y
_atom_site_fract_z
Tl1 Tl 0.079 0.000 0.214
Tl2 Tl 0.209 0.000 0.648
Bi1 Bi 0.000 0.500 0.500
Bi2 Bi 0.127 0.500 0.923
# Spin magnetization ... 0.0 Bohr magnetons per cell
# ΔE to the lowest computed polymorph ... 0.0000 eV per atom
# DFT total energy ... -42.27 eV/cell
# Formation enthalpy at 0 K ... -4.2 meV per atom

***

# Tl8Bi3 PBE relaxed
data_Tl8Bi3
_cell_length_a 11.1646
_cell_length_b 11.1646
_cell_length_c 10.9732
_cell_angle_alpha 90.00
_cell_angle_beta 90.00
_cell_angle_gamma 120.00
_space_group_name_H-M_alt 'R -3'
_space_group_IT_number 148
_space_group_name_Hall '-R 3'
loop_
_atom_site_label
_atom_site_type_symbol
_atom_site_fract_x
_atom_site_fract_y
_atom_site_fract_z
Tl1 Tl 0.0000 0.0000 0.1450
Tl2 Tl 0.0177 0.7809 0.4054
Bi1 Bi 0.0000 0.5000 0.5000
# Spin magnetization ... 0.0 Bohr magnetons per cell
# ΔE to the lowest computed polymorph ... 0.1069 eV per atom
# DFT total energy ... -88.94 eV/cell
# Formation enthalpy at 0 K ... 84.4 meV per atom

***

# TlBi PBE relaxed
data_TlBi
_cell_length_a 6.431
_cell_length_b 6.431
_cell_length_c 6.431
_cell_angle_alpha 90.00
_cell_angle_beta 90.00
_cell_angle_gamma 90.00
_space_group_name_H-M_alt 'F m -3 m'
_space_group_IT_number 225
_space_group_name_Hall '-F 4 2 3'
loop_
_atom_site_label
_atom_site_type_symbol
_atom_site_fract_x
_atom_site_fract_y
_atom_site_fract_z
Tl1 Tl 0.000 0.000 0.000
Bi1 Bi 0.000 0.000 0.500
# Spin magnetization ... 0.0 Bohr magnetons per cell
# DFT total energy ... -23.59 eV/cell
# Formation enthalpy at 0 K ... 175.2 meV per atom

***

# Tm6Tl3Bi PBE relaxed
data_Tm6Tl3Bi
_cell_length_a 10.001
_cell_length_b 17.028
_cell_length_c 6.788
_cell_angle_alpha 90.00
_cell_angle_beta 90.00
_cell_angle_gamma 90.00
_space_group_name_H-M_alt 'C m c 21'
_space_group_IT_number 36
loop_
_space_group_symop_operation_xyz
'x,y,z'
'-x,-y,z+1/2'
'-x,y,z'
'x,-y,z+1/2'
'x+1/2,y+1/2,z'
'-x+1/2,-y+1/2,z+1/2'
'-x+1/2,y+1/2,z'
'x+1/2,-y+1/2,z+1/2'
loop_
_atom_site_label
_atom_site_type_symbol
_atom_site_fract_x
_atom_site_fract_y
_atom_site_fract_z
Tm1 Tm 0.000 0.004 0.000
Tm2 Tm 0.000 0.295 0.961
Tm3 Tm 0.187 0.266 0.511
Tm4 Tm 0.200 0.440 0.774
Tl1 Tl 0.000 0.420 0.404
Tl2 Tl 0.196 0.110 0.739
Bi1 Bi 0.000 0.156 0.257
# Spin magnetization ... 0.0 Bohr magnetons per cell
# DFT total energy ... -160.45 eV/cell
# Formation enthalpy at 0 K ... -230.3 meV per atom

***

# Tm6Tl5Bi PBE relaxed
data_Tm6Tl5Bi
_cell_length_a 9.105
_cell_length_b 16.307
_cell_length_c 5.417
_cell_angle_alpha 90.00
_cell_angle_beta 126.39
_cell_angle_gamma 90.00
_space_group_name_H-M_alt 'C 1 2/m 1'
_space_group_IT_number 12
loop_
_space_group_symop_operation_xyz
'x,y,z'
'-x,-y,-z'
'-x,y,-z'
'x,-y,z'
'x+1/2,y+1/2,z'
'-x+1/2,-y+1/2,-z'
'-x+1/2,y+1/2,-z'
'x+1/2,-y+1/2,z'
loop_
_atom_site_label
_atom_site_type_symbol
_atom_site_fract_x
_atom_site_fract_y
_atom_site_fract_z
Tm1 Tm 0.249 0.000 0.248
Tm2 Tm 0.249 0.167 0.749
Tl1 Tl 0.000 0.171 0.000
Tl2 Tl 0.000 0.336 0.500
Tl3 Tl 0.000 0.500 0.000
Bi1 Bi 0.000 0.000 0.500
# Spin magnetization ... 0.0 Bohr magnetons per cell
# ΔE to the lowest computed polymorph ... 0.0112 eV per atom
# DFT total energy ... -92.50 eV/cell
# Formation enthalpy at 0 K ... -309.2 meV per atom

***

# Tm6Tl6Bi PBE relaxed
data_Tm6Tl6Bi
_cell_length_a 6.4713
_cell_length_b 6.4713
_cell_length_c 10.2120
_cell_angle_alpha 90.00
_cell_angle_beta 90.00
_cell_angle_gamma 120.00
_space_group_name_H-M_alt 'P 6/m m m'
_space_group_IT_number 191
_space_group_name_Hall '-P 6 2'
loop_
_atom_site_label
_atom_site_type_symbol
_atom_site_fract_x
_atom_site_fract_y
_atom_site_fract_z
Tm1 Tm 0.0000 0.0000 0.1883
Tm2 Tm 0.3333 0.6667 0.0000
Tm3 Tm 0.3333 0.6667 0.5000
Tl1 Tl 0.0000 0.5000 0.2490
Bi1 Bi 0.0000 0.0000 0.5000
# Spin magnetization ... 0.0 Bohr magnetons per cell
# DFT total energy ... -47.22 eV/cell
# Formation enthalpy at 0 K ... -177.9 meV per atom

***

# TmTlBi PBE relaxed
data_TmTlBi
_cell_length_a 5.2760
_cell_length_b 5.2760
_cell_length_c 3.6709
_cell_angle_alpha 90.00
_cell_angle_beta 90.00
_cell_angle_gamma 120.00
_space_group_name_H-M_alt 'P 3 m 1'
_space_group_IT_number 156
loop_
_space_group_symop_operation_xyz
'x,y,z'
'-y,x-y,z'
'-x+y,-x,z'
'-y,-x,z'
'-x+y,y,z'
'x,x-y,z'
loop_
_atom_site_label
_atom_site_type_symbol
_atom_site_fract_x
_atom_site_fract_y
_atom_site_fract_z
Tm1 Tm 0.0000 0.0000 0.0000
Tl1 Tl 0.6667 0.3333 0.2998
Bi1 Bi 0.3333 0.6667 0.6182
# Spin magnetization ... 0.0 Bohr magnetons per cell
# ΔE to the lowest computed polymorph ... 0.0000 eV per atom
# DFT total energy ... -11.18 eV/cell
# Formation enthalpy at 0 K ... -152.7 meV per atom

***

# Tm6TlBi2 PBE relaxed
data_Tm6TlBi2
_cell_length_a 8.3457
_cell_length_b 8.3457
_cell_length_c 4.2949
_cell_angle_alpha 90.00
_cell_angle_beta 90.00
_cell_angle_gamma 120.00
_space_group_name_H-M_alt 'P -6 2 m'
_space_group_IT_number 189
_space_group_name_Hall 'P -6 -2'
loop_
_atom_site_label
_atom_site_type_symbol
_atom_site_fract_x
_atom_site_fract_y
_atom_site_fract_z
Tm1 Tm 0.0000 0.2550 0.0000
Tm2 Tm 0.0000 0.6004 0.5000
Tl1 Tl 0.0000 0.0000 0.5000
Bi1 Bi 0.3333 0.6667 0.0000
# Spin magnetization ... 2.1 Bohr magnetons per cell
# DFT total energy ... -40.54 eV/cell
# Formation enthalpy at 0 K ... -398.3 meV per atom

***

# Tm6Tl5Bi PBE relaxed
data_Tm6Tl5Bi
_cell_length_a 5.015
_cell_length_b 7.949
_cell_length_c 8.509
_cell_angle_alpha 90.07
_cell_angle_beta 90.03
_cell_angle_gamma 108.24
_space_group_name_H-M_alt 'P -1'
_space_group_IT_number 2
loop_
_space_group_symop_operation_xyz
'x,y,z'
'-x,-y,-z'
loop_
_atom_site_label
_atom_site_type_symbol
_atom_site_fract_x
_atom_site_fract_y
_atom_site_fract_z
Tm1 Tm 0.001 0.000 0.247
Tm2 Tm 0.333 0.666 0.246
Tm3 Tm 0.333 0.666 0.754
Tl1 Tl 0.167 0.334 0.000
Tl2 Tl 0.172 0.343 0.500
Tl3 Tl 0.500 0.000 0.000
Bi1 Bi 0.500 0.000 0.500
# Spin magnetization ... 0.0 Bohr magnetons per cell
# ΔE to the lowest computed polymorph ... 0.0000 eV per atom
# DFT total energy ... -46.39 eV/cell
# Formation enthalpy at 0 K ... -320.4 meV per atom

***

# Tm8Tl2Bi PBE relaxed
data_Tm8Tl2Bi
_cell_length_a 16.904
_cell_length_b 4.906
_cell_length_c 8.092
_cell_angle_alpha 90.00
_cell_angle_beta 111.78
_cell_angle_gamma 90.00
_space_group_name_H-M_alt 'C 1 2/m 1'
_space_group_IT_number 12
loop_
_space_group_symop_operation_xyz
'x,y,z'
'-x,-y,-z'
'-x,y,-z'
'x,-y,z'
'x+1/2,y+1/2,z'
'-x+1/2,-y+1/2,-z'
'-x+1/2,y+1/2,-z'
'x+1/2,-y+1/2,z'
loop_
_atom_site_label
_atom_site_type_symbol
_atom_site_fract_x
_atom_site_fract_y
_atom_site_fract_z
Tm1 Tm 0.054 0.000 0.221
Tm2 Tm 0.093 0.500 0.956
Tm3 Tm 0.148 0.000 0.709
Tm4 Tm 0.180 0.500 0.436
Tl1 Tl 0.224 0.000 0.148
Bi1 Bi 0.000 0.500 0.500
# Spin magnetization ... 0.0 Bohr magnetons per cell
# DFT total energy ... -93.57 eV/cell
# Formation enthalpy at 0 K ... -218.1 meV per atom

***

# Tm6TlBi3 PBE relaxed
data_Tm6TlBi3
_cell_length_a 11.743
_cell_length_b 11.596
_cell_length_c 8.453
_cell_angle_alpha 90.00
_cell_angle_beta 90.00
_cell_angle_gamma 90.00
_space_group_name_H-M_alt 'C m c 21'
_space_group_IT_number 36
loop_
_space_group_symop_operation_xyz
'x,y,z'
'-x,-y,z+1/2'
'-x,y,z'
'x,-y,z+1/2'
'x+1/2,y+1/2,z'
'-x+1/2,-y+1/2,z+1/2'
'-x+1/2,y+1/2,z'
'x+1/2,-y+1/2,z+1/2'
loop_
_atom_site_label
_atom_site_type_symbol
_atom_site_fract_x
_atom_site_fract_y
_atom_site_fract_z
Tm1 Tm 0.000 0.160 0.000
Tm2 Tm 0.000 0.161 0.490
Tm3 Tm 0.155 0.500 0.495
Tm4 Tm 0.246 0.254 0.245
Tl1 Tl 0.000 0.353 0.245
Bi1 Bi 0.000 0.354 0.745
Bi2 Bi 0.148 0.001 0.245
# Spin magnetization ... 0.0 Bohr magnetons per cell
# DFT total energy ... -184.16 eV/cell
# Formation enthalpy at 0 K ... -520.1 meV per atom

***

# Tm7Tl2Bi2 PBE relaxed
data_Tm7Tl2Bi2
_cell_length_a 11.035
_cell_length_b 8.605
_cell_length_c 7.384
_cell_angle_alpha 90.00
_cell_angle_beta 100.88
_cell_angle_gamma 90.00
_space_group_name_H-M_alt 'C 1 2/m 1'
_space_group_IT_number 12
loop_
_space_group_symop_operation_xyz
'x,y,z'
'-x,-y,-z'
'-x,y,-z'
'x,-y,z'
'x+1/2,y+1/2,z'
'-x+1/2,-y+1/2,-z'
'-x+1/2,y+1/2,-z'
'x+1/2,-y+1/2,z'
loop_
_atom_site_label
_atom_site_type_symbol
_atom_site_fract_x
_atom_site_fract_y
_atom_site_fract_z
Tm1 Tm 0.000 0.000 0.000
Tm2 Tm 0.019 0.500 0.284
Tm3 Tm 0.236 0.195 0.281
Tl1 Tl 0.000 0.178 0.500
Bi1 Bi 0.220 0.500 0.051
# Spin magnetization ... 0.0 Bohr magnetons per cell
# DFT total energy ... -90.12 eV/cell
# Formation enthalpy at 0 K ... -114.9 meV per atom

***

# Tm3TlBi2 PBE relaxed
data_Tm3TlBi2
_cell_length_a 14.336
_cell_length_b 6.230
_cell_length_c 8.564
_cell_angle_alpha 90.00
_cell_angle_beta 107.37
_cell_angle_gamma 90.00
_space_group_name_H-M_alt 'C 1 2/c 1'
_space_group_IT_number 15
loop_
_space_group_symop_operation_xyz
'x,y,z'
'-x,-y,-z'
'-x,y,-z+1/2'
'x,-y,z+1/2'
'x+1/2,y+1/2,z'
'-x+1/2,-y+1/2,-z'
'-x+1/2,y+1/2,-z+1/2'
'x+1/2,-y+1/2,z+1/2'
loop_
_atom_site_label
_atom_site_type_symbol
_atom_site_fract_x
_atom_site_fract_y
_atom_site_fract_z
Tm1 Tm 0.000 0.001 0.250
Tm2 Tm 0.170 0.500 0.085
Tl1 Tl 0.000 0.499 0.750
Bi1 Bi 0.166 0.000 0.083
# Spin magnetization ... 0.0 Bohr magnetons per cell
# DFT total energy ... -106.09 eV/cell
# Formation enthalpy at 0 K ... -496.6 meV per atom

***

# TmTlBi PBE relaxed
data_TmTlBi
_cell_length_a 3.397
_cell_length_b 3.397
_cell_length_c 16.724
_cell_angle_alpha 90.00
_cell_angle_beta 90.00
_cell_angle_gamma 90.00
_space_group_name_H-M_alt 'I 4 m m'
_space_group_IT_number 107
_space_group_name_Hall 'I 4 -2'
loop_
_atom_site_label
_atom_site_type_symbol
_atom_site_fract_x
_atom_site_fract_y
_atom_site_fract_z
Tm1 Tm 0.000 0.000 0.000
Tl1 Tl 0.000 0.000 0.370
Bi1 Bi 0.000 0.000 0.185
# Spin magnetization ... 1.0 Bohr magnetons per cell
# ΔE to the lowest computed polymorph ... 0.2268 eV per atom
# DFT total energy ... -20.99 eV/cell
# Formation enthalpy at 0 K ... 74.1 meV per atom

***

# Tm10Tl3Bi3 PBE relaxed
data_Tm10Tl3Bi3
_cell_length_a 8.9324
_cell_length_b 8.9324
_cell_length_c 6.5191
_cell_angle_alpha 90.00
_cell_angle_beta 90.00
_cell_angle_gamma 120.00
_space_group_name_H-M_alt 'P -6 2 m'
_space_group_IT_number 189
_space_group_name_Hall 'P -6 -2'
loop_
_atom_site_label
_atom_site_type_symbol
_atom_site_fract_x
_atom_site_fract_y
_atom_site_fract_z
Tm1 Tm 0.0000 0.2353 0.0000
Tm2 Tm 0.0000 0.7663 0.5000
Tm3 Tm 0.3333 0.6667 0.2427
Tl1 Tl 0.0000 0.6069 0.0000
Bi1 Bi 0.0000 0.3969 0.5000
# Spin magnetization ... 0.0 Bohr magnetons per cell
# DFT total energy ... -71.18 eV/cell
# Formation enthalpy at 0 K ... -482.7 meV per atom

***

# Tm5TlBi2 PBE relaxed
data_Tm5TlBi2
_cell_length_a 5.654
_cell_length_b 11.618
_cell_length_c 14.671
_cell_angle_alpha 90.00
_cell_angle_beta 90.00
_cell_angle_gamma 90.00
_space_group_name_H-M_alt 'C m c m'
_space_group_IT_number 63
_space_group_name_Hall '-C 2c 2'
loop_
_atom_site_label
_atom_site_type_symbol
_atom_site_fract_x
_atom_site_fract_y
_atom_site_fract_z
Tm1 Tm 0.000 0.067 0.250
Tm2 Tm 0.000 0.119 0.550
Tm3 Tm 0.000 0.427 0.597
Tl1 Tl 0.000 0.219 0.750
Bi1 Bi 0.000 0.292 0.116
# Spin magnetization ... 0.0 Bohr magnetons per cell
# DFT total energy ... -137.18 eV/cell
# Formation enthalpy at 0 K ... -226.1 meV per atom

***

# Tm3TlBi PBE relaxed
data_Tm3TlBi
_cell_length_a 14.127
_cell_length_b 12.850
_cell_length_c 6.529
_cell_angle_alpha 90.00
_cell_angle_beta 103.67
_cell_angle_gamma 90.00
_space_group_name_H-M_alt 'C 1 2/c 1'
_space_group_IT_number 15
loop_
_space_group_symop_operation_xyz
'x,y,z'
'-x,-y,-z'
'-x,y,-z+1/2'
'x,-y,z+1/2'
'x+1/2,y+1/2,z'
'-x+1/2,-y+1/2,-z'
'-x+1/2,y+1/2,-z+1/2'
'x+1/2,-y+1/2,z+1/2'
loop_
_atom_site_label
_atom_site_type_symbol
_atom_site_fract_x
_atom_site_fract_y
_atom_site_fract_z
Tm1 Tm 0.091 0.173 0.037
Tm2 Tm 0.180 0.300 0.628
Tm3 Tm 0.190 0.430 0.109
Tl1 Tl 0.000 0.368 0.250
Tl2 Tl 0.000 0.388 0.750
Bi1 Bi 0.125 0.075 0.507
# Spin magnetization ... 0.0 Bohr magnetons per cell
# DFT total energy ... -170.45 eV/cell
# Formation enthalpy at 0 K ... -328.9 meV per atom